! Ac6Ge3Rh (PBE, optimized geometry); values from VASP
! D(E_F) = 0.985 states/eV/atom
! calculated volume = 738.5 Å³/cell
! E_tot = -101.82 eV/cell
! space group = R-3
&SYSTEM
  ibrav = 0, nat = 20, ntyp = 3
/
ATOMIC_SPECIES
Ac 227.00 Ac.upf
Ge 72.64 Ge.upf
Rh 102.91 Rh.upf
CELL_PARAMETERS angstrom
-1.611 3.978 -8.111
-2.332 -8.626 -2.089
-7.610 2.559 4.445
ATOMIC_POSITIONS crystal
Ac 0.684 0.046 0.929
Ac 0.574 0.811 0.440
Ac 0.071 0.316 0.954
Ac 0.426 0.189 0.560
Ac 0.316 0.954 0.071
Ac 0.189 0.560 0.426
Ac 0.954 0.071 0.316
Ac 0.440 0.574 0.811
Ac 0.560 0.426 0.189
Ac 0.929 0.684 0.046
Ac 0.811 0.440 0.574
Ac 0.046 0.929 0.684
Ge 0.708 0.380 0.880
Ge 0.120 0.292 0.620
Ge 0.880 0.708 0.380
Ge 0.620 0.120 0.292
Ge 0.292 0.620 0.120
Ge 0.380 0.880 0.708
Rh 0.500 0.500 0.500
Rh 0.000 0.000 0.000